Entry 1:
# PBE-GGA KZnCr3, optimized geometry
# distance to the lowest polymorph of the same formula	0.0	kJ/mol of formula units
# V	25.78	A^3/atom
# N(E_F)	3.502	states/eV per cell
# energy relative to the elements	1.203	eV/atom
data_KZnCr3
_chemical_formula_sum 'K1 Zn1 Cr3'
_space_group_name_H-M_alt 'P m -3 m'
_space_group_IT_number 221
_space_group_name_Hall '-P 4 2 3'
_cell_length_a 5.052
_cell_length_b 5.052
_cell_length_c 5.052
_cell_angle_alpha 90.00
_cell_angle_beta 90.00
_cell_angle_gamma 90.00
loop_
_atom_site_label
_atom_site_fract_x
_atom_site_fract_y
_atom_site_fract_z
K1 0.000 0.000 0.000
Zn1 0.500 0.500 0.500
Cr1 0.000 0.500 0.500

---

Entry 2:
# PBE-GGA Rb3Y3TmTe8, optimized geometry
# V	39.56	A^3/atom
# ΔE_f (raw)	-1.3228	eV per atom
# N(E_F)	19.371	states/eV per cell
data_Rb3Y3TmTe8
_chemical_formula_sum 'Rb9 Y9 Tm3 Te24'
_space_group_name_H-M_alt 'R -3 m'
_space_group_IT_number 166
_space_group_name_Hall '-R 3 2"'
_cell_length_a 8.7943
_cell_length_b 8.7943
_cell_length_c 26.5797
_cell_angle_alpha 90.00
_cell_angle_beta 90.00
_cell_angle_gamma 120.00
loop_
_atom_site_label
_atom_site_fract_x
_atom_site_fract_y
_atom_site_fract_z
Rb1 0.0000 0.5000 0.0000
Y1 0.0000 0.5000 0.5000
Tm1 0.0000 0.0000 0.5000
Te1 0.0000 0.0000 0.2336
Te2 0.0013 0.5006 0.2328

---

Entry 3:
# PBE-GGA LiSc2Sn4, optimized geometry
# distance to the lowest polymorph of the same formula	202.9	kJ/mol of formula units
# V	25.15	A^3/atom
# N(E_F)	7.393	states/eV per cell
# energy relative to the elements	-0.090	eV/atom
data_LiSc2Sn4
_chemical_formula_sum 'Li2 Sc4 Sn8'
_space_group_name_H-M_alt 'I 4/m m m'
_space_group_IT_number 139
_space_group_name_Hall '-I 4 2'
_cell_length_a 4.911
_cell_length_b 4.911
_cell_length_c 14.596
_cell_angle_alpha 90.00
_cell_angle_beta 90.00
_cell_angle_gamma 90.00
loop_
_atom_site_label
_atom_site_fract_x
_atom_site_fract_y
_atom_site_fract_z
Li1 0.000 0.000 0.000
Sc1 0.000 0.000 0.379
Sn1 0.000 0.000 0.180
Sn2 0.000 0.500 0.000

---

Entry 4:
# PBE-GGA YSe6Br12, optimized geometry
# V	37.65	A^3/atom
# ΔE_f (raw)	-0.3326	eV per atom
# N(E_F)	34.485	states/eV per cell
data_YSe6Br12
_chemical_formula_sum 'Y3 Se18 Br36'
_space_group_name_H-M_alt 'R -3'
_space_group_IT_number 148
_space_group_name_Hall '-R 3'
_cell_length_a 10.9965
_cell_length_b 10.9965
_cell_length_c 20.4926
_cell_angle_alpha 90.00
_cell_angle_beta 90.00
_cell_angle_gamma 120.00
loop_
_atom_site_label
_atom_site_fract_x
_atom_site_fract_y
_atom_site_fract_z
Y1 0.0000 0.0000 0.0000
Se1 0.0327 0.1508 0.6495
Br1 0.0350 0.8106 0.2457
Br2 0.0628 0.8258 0.0783